# Ca3AcNi2

A relaxed structure of Ca3AcNi2 (PBE, the Alexandria database).

The space group is C2/m (No. 12) and the conventional cell measures 17.279, 4.073 and 12.114 Å, with angles of 90.00, 122.44 and 90.00 degrees. The asymmetric unit holds Ca at (0.089, 0.000, 0.437), Ca at (0.090, 0.000, 0.950), Ca at (0.157, 0.500, 0.254), Ac at (0.162, 0.500, 0.749), Ni at (0.235, 0.500, 0.543) and Ni at (0.238, 0.500, 0.050).

The magnetic moment is 0.00 μB per cell. The value obtained for the formation energy is -0.150 eV/atom. Its density is 4.3 g/cm³.